No. 1
The following is a GGA-PBE calculation of an optimized crystal structure of Y2ZrAu, from Alexandria.

Summary:
Polymorph energy (0 for the lowest one)   348 meV/atom
Energy of formation from the pure elements   -7 kJ/mol of formula units
Total magnetic moment   0.89 μB per formula unit
Space group   I-42d (122)

Cell lengths 6.6682, 6.6682, 6.6682 Å; angles 102.68, 102.68, 124.13 degrees
Positions (direct):
Y1 0.0815 0.6250 0.9565
Y2 0.3750 0.3315 0.4565
Y3 0.6685 0.1250 0.0435
Y4 0.8750 0.9185 0.5435
Zr1 0.2500 0.7500 0.5000
Zr2 0.5000 0.5000 0.0000
Au1 0.0000 0.0000 0.0000
Au2 0.7500 0.2500 0.5000


No. 2
The following is a GGA-PBE calculation of an optimized crystal structure of YZr2Au, from Alexandria.

Summary:
Polymorph energy (0 for the lowest one)   145 meV/atom
Energy of formation from the pure elements   -68 kJ/mol of formula units
Total magnetic moment   0.00 μB per formula unit
Space group   P4/mmm (123)

Cell lengths 3.3222, 3.3222, 8.4663 Å; angles 90.00, 90.00, 90.00 degrees
Positions (direct):
Y1 0.0000 0.0000 0.0000
Zr1 0.5000 0.5000 0.2793
Zr2 0.5000 0.5000 0.7207
Au1 0.0000 0.0000 0.5000


No. 3
The following is a GGA-PBE calculation of an optimized crystal structure of YZr2Au, from Alexandria.

Summary:
Polymorph energy (0 for the lowest one)   311 meV/atom
Energy of formation from the pure elements   -4 kJ/mol of formula units
Total magnetic moment   0.00 μB per formula unit
Space group   Fm-3m (225)

Cell lengths 5.0015, 5.0015, 5.0015 Å; angles 60.00, 60.00, 60.00 degrees
Positions (direct):
Y1 0.0000 0.0000 0.0000
Zr1 0.2500 0.2500 0.2500
Zr2 0.7500 0.7500 0.7500
Au1 0.5000 0.5000 0.5000


No. 4
The following is a GGA-PBE calculation of an optimized crystal structure of YZr2Au2, from Alexandria.

Summary:
Polymorph energy (0 for the lowest one)   0 meV/atom
Energy of formation from the pure elements   -215 kJ/mol of formula units
Total magnetic moment   0.00 μB per formula unit
Space group   P4/mbm (127)

Cell lengths 7.9711, 7.9711, 3.5302 Å; angles 90.00, 90.00, 90.00 degrees
Positions (direct):
Y1 0.0000 0.0000 0.0000
Y2 0.5000 0.5000 0.0000
Zr1 0.1683 0.3317 0.5000
Zr2 0.3317 0.8317 0.5000
Zr3 0.6683 0.1683 0.5000
Zr4 0.8317 0.6683 0.5000
Au1 0.1275 0.6275 0.0000
Au2 0.3725 0.1275 0.0000
Au3 0.6275 0.8725 0.0000
Au4 0.8725 0.3725 0.0000


No. 5
The following is a GGA-PBE calculation of an optimized crystal structure of YZrAu, from Alexandria.

Summary:
Polymorph energy (0 for the lowest one)   13 meV/atom
Energy of formation from the pure elements   -143 kJ/mol of formula units
Total magnetic moment   0.00 μB per formula unit
Space group   C2/m (12)

Cell lengths 5.7201, 5.7201, 8.6855 Å; angles 118.72, 118.72, 35.70 degrees
Positions (direct):
Y1 0.0704 0.0704 0.3305
Y2 0.9296 0.9296 0.6695
Zr1 0.3468 0.3468 0.9528
Zr2 0.6532 0.6532 0.0472
Au1 0.3495 0.3495 0.3351
Au2 0.6505 0.6505 0.6649


No. 6
The following is a GGA-PBE calculation of an optimized crystal structure of YZr2Au, from Alexandria.

Summary:
Polymorph energy (0 for the lowest one)   294 meV/atom
Energy of formation from the pure elements   -11 kJ/mol of formula units
Total magnetic moment   0.00 μB per formula unit
Space group   Cmmm (65)

Cell lengths 5.5678, 5.5678, 3.2377 Å; angles 90.00, 90.00, 113.41 degrees
Positions (direct):
Y1 0.0000 0.0000 0.0000
Zr1 0.0000 0.5000 0.5000
Zr2 0.5000 0.0000 0.5000
Au1 0.5000 0.5000 0.0000


No. 7
The following is a GGA-PBE calculation of an optimized crystal structure of YZr2Au, from Alexandria.

Summary:
Polymorph energy (0 for the lowest one)   334 meV/atom
Energy of formation from the pure elements   5 kJ/mol of formula units
Total magnetic moment   0.00 μB per formula unit
Space group   I-42d (122)

Cell lengths 6.5451, 6.5451, 6.5451 Å; angles 101.77, 101.77, 126.29 degrees
Positions (direct):
Y1 0.0000 0.0000 0.0000
Y2 0.7500 0.2500 0.5000
Zr1 0.1724 0.6250 0.0474
Zr2 0.3750 0.4224 0.5474
Zr3 0.5776 0.1250 0.9526
Zr4 0.8750 0.8276 0.4526
Au1 0.2500 0.7500 0.5000
Au2 0.5000 0.5000 0.0000


No. 8
The following is a GGA-PBE calculation of an optimized crystal structure of YZrAu, from Alexandria.

Summary:
Polymorph energy (0 for the lowest one)   98 meV/atom
Energy of formation from the pure elements   -118 kJ/mol of formula units
Total magnetic moment   0.00 μB per formula unit
Space group   Pnma (62)

Cell lengths 6.9724, 3.4353, 11.8214 Å; angles 90.00, 90.00, 90.00 degrees
Positions (direct):
Y1 0.1383 0.2500 0.0962
Y2 0.3617 0.7500 0.5962
Y3 0.6383 0.2500 0.4038
Y4 0.8617 0.7500 0.9038
Zr1 0.1097 0.2500 0.4065
Zr2 0.3903 0.7500 0.9065
Zr3 0.6097 0.2500 0.0935
Zr4 0.8903 0.7500 0.5935
Au1 0.1329 0.2500 0.7653
Au2 0.3671 0.7500 0.2653
Au3 0.6329 0.2500 0.7347
Au4 0.8671 0.7500 0.2347


No. 9
The following is a GGA-PBE calculation of an optimized crystal structure of YZrAu, from Alexandria.

Summary:
Polymorph energy (0 for the lowest one)   0 meV/atom
Energy of formation from the pure elements   -147 kJ/mol of formula units
Total magnetic moment   0.00 μB per formula unit
Space group   P2_1/m (11)

Cell lengths 3.6999, 4.7127, 8.2930 Å; angles 90.00, 93.45, 90.00 degrees
Positions (direct):
Y1 0.2174 0.2500 0.1506
Y2 0.7826 0.7500 0.8494
Zr1 0.2459 0.7500 0.4793
Zr2 0.7541 0.2500 0.5207
Au1 0.2775 0.2500 0.7829
Au2 0.7225 0.7500 0.2171


No. 10
The following is a GGA-PBE calculation of an optimized crystal structure of YZrAu, from Alexandria.

Summary:
Polymorph energy (0 for the lowest one)   275 meV/atom
Energy of formation from the pure elements   -67 kJ/mol of formula units
Total magnetic moment   0.00 μB per formula unit
Space group   P4/nmm (129)

Cell lengths 4.4424, 4.4424, 7.3770 Å; angles 90.00, 90.00, 90.00 degrees
Positions (direct):
Y1 0.2500 0.7500 0.0000
Y2 0.7500 0.2500 0.0000
Zr1 0.2500 0.2500 0.3676
Zr2 0.7500 0.7500 0.6324
Au1 0.2500 0.2500 0.7236
Au2 0.7500 0.7500 0.2764


No. 11
The following is a GGA-PBE calculation of an optimized crystal structure of YZr2Au, from Alexandria.

Summary:
Polymorph energy (0 for the lowest one)   180 meV/atom
Energy of formation from the pure elements   -55 kJ/mol of formula units
Total magnetic moment   0.00 μB per formula unit
Space group   I-4m2 (119)

Cell lengths 5.5804, 5.5804, 5.5804 Å; angles 133.16, 133.16, 68.40 degrees
Positions (direct):
Y1 0.0000 0.0000 0.0000
Zr1 0.2500 0.7500 0.5000
Zr2 0.5000 0.5000 0.0000
Au1 0.7500 0.2500 0.5000


No. 12
The following is a GGA-PBE calculation of an optimized crystal structure of Yb2Au, from Alexandria.

Summary:
Energy of formation from the pure elements   -213 kJ/mol of formula units
Total magnetic moment   0.00 μB per formula unit
Space group   Pnma (62)

Cell lengths 7.7942, 4.5081, 9.4679 Å; angles 90.00, 90.00, 90.00 degrees
Positions (direct):
Yb1 0.0234 0.2500 0.1693
Yb2 0.1461 0.2500 0.5671
Yb3 0.3539 0.7500 0.0671
Yb4 0.4766 0.7500 0.6693
Yb5 0.5234 0.2500 0.3307
Yb6 0.6461 0.2500 0.9329
Yb7 0.8539 0.7500 0.4329
Yb8 0.9766 0.7500 0.8307
Au1 0.2447 0.7500 0.3764
Au2 0.2553 0.2500 0.8764
Au3 0.7447 0.7500 0.1236
Au4 0.7553 0.2500 0.6236